A plane-wave DFT calculation with GGA-PBE was carried out for a geometry-optimized SrAg2HS structure.

abc: 5.7025 4.1173 5.7025
angles: 90.00 90.00 90.00
Last column: nearest neighbours and their distance in Å.
Element x y z (fractional)
1 Ag 0.0000 0.0000 0.5000  2 Sr 2.85
2 H 0.0000 0.5000 0.0000  2 Sr 2.06
3 Ag 0.5000 0.0000 0.0000  2 Sr 2.85
4 S 0.5000 0.5000 0.5000  8 Ag 3.52
5 Sr 0.0000 0.0000 0.0000  2 H 2.06

Output
Electronic total energy in eV/cell: -11.14